1.
First-principles (PBE-GGA) data for a relaxed Tc2AsP crystal, as listed in the Alexandria database.

Values from the calculation:
total DFT energy (no corrections)	-29.78	eV/f.u.
energy relative to the lowest polymorph listed for this composition	551.5	meV per atom
space group	No. 35
magnetization	0.00	μB per formula unit
DOS(E_F)	3.7	states/eV/f.u.
formation energy	0.25	eV/atom

Unit cell a=2.8005 b=2.8005 c=9.6225 alpha=90.00 beta=90.00 gamma=115.09
Fractional positions:
As 0.0000 0.0000 0.4487
P 0.5000 0.5000 0.8124
Tc 0.0000 0.0000 0.9996
Tc 0.5000 0.5000 0.2393



2.
First-principles (PBE-GGA) data for a relaxed TcAsP2 crystal, as listed in the Alexandria database.

Values from the calculation:
total DFT energy (no corrections)	-25.38	eV/f.u.
space group	No. 10
magnetization	0.00	μB per formula unit
DOS(E_F)	2.0	states/eV/f.u.
formation energy	0.11	eV/atom

Unit cell a=4.5379 b=3.3621 c=4.2847 alpha=79.75 beta=90.00 gamma=90.00
Fractional positions:
As 0.5000 0.7500 0.7500
P 0.0000 0.0342 0.0759
P 0.0000 0.4658 0.4241
Tc 0.5000 0.2500 0.2500



3.
First-principles (PBE-GGA) data for a relaxed TcAsP2 crystal, as listed in the Alexandria database.

Values from the calculation:
total DFT energy (no corrections)	-25.54	eV/f.u.
space group	No. 160
magnetization	0.00	μB per formula unit
DOS(E_F)	1.6	states/eV/f.u.
formation energy	0.07	eV/atom

Unit cell a=7.2575 b=7.2575 c=7.2575 alpha=25.37 beta=25.37 gamma=25.37
Fractional positions:
As 0.7547 0.7547 0.7547
P 0.9869 0.9869 0.9869
P 0.2569 0.2569 0.2569
Tc 0.5015 0.5015 0.5015



4.
First-principles (PBE-GGA) data for a relaxed TcAsP2 crystal, as listed in the Alexandria database.

Values from the calculation:
total DFT energy (no corrections)	-24.46	eV/f.u.
space group	No. 44
magnetization	0.00	μB per formula unit
DOS(E_F)	2.7	states/eV/f.u.
formation energy	0.34	eV/atom

Unit cell a=4.9283 b=4.9283 c=4.9283 alpha=141.66 beta=122.93 gamma=70.85
Fractional positions:
As 0.2139 0.7139 0.5000
P 0.9871 0.9871 0.0000
P 0.7588 0.2588 0.5000
Tc 0.5402 0.5402 0.0000